{"formula": "Sc2BeCr", "functional": "PBE", "state": "relaxed", "lattice": [[5.4695, -0.0116, 0.0963], [4.5498, 3.0356, 0.0963], [1.7556, 0.5299, 4.0814]], "species": ["Sc", "Sc", "Be", "Cr"], "frac_coords": [[0.7787, 0.7787, 0.7211], [0.9894, 0.9894, 0.0109], [0.5245, 0.5245, 0.4758], [0.2074, 0.2074, 0.2922]], "space_group": "Imm2", "n_ef_per_ev_cell": 2.4, "delta_e_f_ev_per_atom": 0.141}